# ScPaZn

A relaxed ScPaZn crystal (GGA-PBE, the Alexandria database).

Properties
The theoretical density is 8.85 g/cm³. The offset from the most stable computed form is 0.0757 eV per atom. As for the space group: I4mm. As for the calculated volume: 21.36 A^3/atom. The value obtained for the energy of formation from the pure elements is -51.6 meV/atom. The value obtained for the total magnetic moment is 0.000 μB per formula unit.

Lattice parameters (Å, degrees): 7.0302 7.0302 7.0302 154.55 154.55 36.30
Atoms (fractional coordinates):
Sc 0.0000 0.0000 0.0000
Pa 0.6890 0.6890 0.0000
Zn 0.3559 0.3559 0.0000